ScAsP2 | PBE | relaxed

## Properties
As for the density of states at the Fermi level: 0.110 states/eV/atom. The calculation puts the raw total energy at -0.4196 Ry per atom. As for the total moment: 0.00 μB/atom. For the calculated volume, the calculation gives 24.833 A^3/atom.

Lattice parameters (Å, degrees): 5.810 5.810 7.177 66.12 66.12 90.00
Fractional positions:
As  0.750  0.250  0.500
As  0.000  0.000  0.000
Sc  0.250  0.750  0.500
Sc  0.500  0.500  0.000
P  0.112  0.625  0.250
P  0.875  0.888  0.750
P  0.638  0.125  0.250
P  0.375  0.362  0.750

CaYHg5 | PBE | relaxed

## Properties
As for the density of states at the Fermi level: 0.572 states/eV/atom. The calculation puts the raw total energy at -0.1266 Ry per atom. As for the total moment: 0.00 μB/atom. For the calculated volume, the calculation gives 27.296 A^3/atom.

Lattice parameters (Å, degrees): 4.527 4.527 9.323 90.00 90.00 90.00
Fractional positions:
Hg  0.500  0.000  0.243
Hg  0.500  0.000  0.757
Hg  0.000  0.500  0.757
Hg  0.000  0.500  0.243
Hg  0.500  0.500  0.500
Y  0.000  0.000  0.500
Ca  0.500  0.500  0.000

Nd3Tm3Sc | PBE | relaxed

## Properties
Its excess energy over the best structure of this formula in the dataset is 0.0 meV per atom. As for the density of states at the Fermi level: 1.714 states/eV/atom. As for the total moment: 0.00 μB/atom. For the calculated volume, the calculation gives 31.604 A^3/atom.

Lattice parameters (Å, degrees): 5.689 9.476 9.477 119.99 90.00 90.00
Fractional positions:
Nd  0.250  0.248  0.194
Nd  0.250  0.806  0.054
Nd  0.750  0.194  0.946
Nd  0.750  0.752  0.806
Nd  0.750  0.054  0.248
Nd  0.250  0.946  0.752
Tm  0.750  0.483  0.385
Tm  0.250  0.385  0.902
Tm  0.750  0.903  0.518
Tm  0.250  0.517  0.615
Tm  0.250  0.097  0.482
Tm  0.750  0.615  0.098
Sc  0.250  0.667  0.334
Sc  0.750  0.333  0.666

Q: What is the calculated volume in the second record?
A: 27.296 A^3/atom